Entry 1:
Entry from OQMD: a relaxed structure of Ba2PdPbS6 (PBE).

The structure in CIF format:
```
data_Ba2PdPbS6
_chemical_formula_sum 'Ba8 Pd4 Pb4 S24'
_cell_length_a 10.102
_cell_length_b 10.102
_cell_length_c 10.102
_cell_angle_alpha 90.00
_cell_angle_beta 90.00
_cell_angle_gamma 90.00
_symmetry_space_group_name_H-M 'F m -3 m'
_symmetry_Int_Tables_number 225
_symmetry_space_group_name_Hall '-F 4 2 3'
loop_
_atom_site_label
_atom_site_type_symbol
_atom_site_fract_x
_atom_site_fract_y
_atom_site_fract_z
Ba1 Ba 0.250 0.250 0.250
Pd1 Pd 0.000 0.000 0.000
Pb1 Pb 0.000 0.000 0.500
S1 S 0.000 0.000 0.236
```

Entry 2:
Entry from OQMD: a relaxed structure of NdH9 (PBE).

Calculated values
- magnetization (Bohr magnetons per cell) = 0.0

The structure in CIF format:
```
data_NdH9
_chemical_formula_sum 'Nd2 H18'
_cell_length_a 4.0762
_cell_length_b 4.0762
_cell_length_c 8.2440
_cell_angle_alpha 90.00
_cell_angle_beta 90.00
_cell_angle_gamma 120.00
_symmetry_space_group_name_H-M 'P 63/m m c'
_symmetry_Int_Tables_number 194
_symmetry_space_group_name_Hall '-P 6c 2c'
loop_
_atom_site_label
_atom_site_type_symbol
_atom_site_fract_x
_atom_site_fract_y
_atom_site_fract_z
Nd1 Nd 0.3333 0.6667 0.2500
H1 H 0.0000 0.0000 0.1995
H2 H 0.1635 0.3271 0.5055
H3 H 0.3333 0.6667 0.7500
```

Entry 3:
Entry from OQMD: a relaxed structure of Co3P2Se8 (PBE).

Calculated values
- magnetization (Bohr magnetons per cell) = 6.0

The structure in CIF format:
```
data_Co3P2Se8
_chemical_formula_sum 'Co6 P4 Se16'
_cell_length_a 12.131
_cell_length_b 6.995
_cell_length_c 7.493
_cell_angle_alpha 90.00
_cell_angle_beta 90.02
_cell_angle_gamma 90.00
_symmetry_space_group_name_H-M 'C 1 2/m 1'
_symmetry_Int_Tables_number 12
_symmetry_space_group_name_Hall '-C 2y'
loop_
_atom_site_label
_atom_site_type_symbol
_atom_site_fract_x
_atom_site_fract_y
_atom_site_fract_z
Co1 Co 0.000 0.000 0.000
Co2 Co 0.250 0.250 0.000
P1 P 0.166 0.000 0.653
Se1 Se 0.088 0.237 0.827
Se2 Se 0.167 0.000 0.370
Se3 Se 0.175 0.500 0.172
```

Entry 4:
Entry from OQMD: a relaxed structure of DyBeO3 (PBE).

Calculated values
- magnetization (Bohr magnetons per cell) = 6.0

The structure in CIF format:
```
data_DyBeO3
_chemical_formula_sum 'Dy6 Be6 O18'
_cell_length_a 5.0911
_cell_length_b 5.0911
_cell_length_c 11.8549
_cell_angle_alpha 90.00
_cell_angle_beta 90.00
_cell_angle_gamma 120.00
_symmetry_space_group_name_H-M 'R -3 c'
_symmetry_Int_Tables_number 167
_symmetry_space_group_name_Hall '-R 3 2"c'
loop_
_atom_site_label
_atom_site_type_symbol
_atom_site_fract_x
_atom_site_fract_y
_atom_site_fract_z
Dy1 Dy 0.0000 0.0000 0.2500
Be1 Be 0.0000 0.0000 0.0000
O1 O 0.0000 0.4503 0.2500
```

no.,total energy (eV for the cell shown)
1,-179.72
2,-63.57
3,-120.55
4,-214.01